The following is a DFT calculation (PBE) of a relaxed Ta12Mo6W crystal.

Unit cell a=7.197 b=7.197 c=7.197 alpha=100.79 beta=100.79 gamma=100.79
Positions (direct):
Ta1 0.329 0.891 0.891
Ta2 0.328 0.068 0.328
Ta3 0.891 0.329 0.891
Ta4 0.109 0.109 0.671
Ta5 0.068 0.328 0.328
Ta6 0.672 0.932 0.672
Ta7 0.109 0.671 0.109
Ta8 0.672 0.672 0.932
Ta9 0.891 0.891 0.329
Ta10 0.932 0.672 0.672
Ta11 0.328 0.328 0.068
Ta12 0.671 0.109 0.109
Mo1 0.500 0.239 0.761
Mo2 0.239 0.761 0.500
Mo3 0.761 0.239 0.500
Mo4 0.500 0.761 0.239
Mo5 0.761 0.500 0.239
Mo6 0.239 0.500 0.761
W1 0.000 0.000 0.000

Results
VASP energy: -11.341 eV/atom
calculated density: 13.91 Mg/m³
formation energy: 247 meV/atom
Fermi-level density of states: 20.27 states/eV/cell